[1]
Computed, not measured: a relaxed KZn2Fe crystal at the GGA-PBE level of DFT.

```
KZn2Fe
1.0
5.3272 -0.0136 0.0000
1.7134 5.0442 0.0000
-3.5203 -2.5153 3.1081
Fe K Zn
1 1 2
Direct
0.5000 0.5000 0.0000
0.7500 0.2500 0.5000
0.0000 0.0000 0.0000
0.2500 0.7500 0.5000
```

[2]
Computed, not measured: a relaxed KZn2Fe crystal at the GGA-PBE level of DFT.

```
KZn2Fe
1.0
4.2594 0.0000 0.0000
0.0000 2.7932 -0.0417
0.0000 0.1183 7.3206
Fe K Zn
1 1 2
Direct
0.0000 0.6248 0.3623
0.5000 0.6249 0.7434
0.0000 0.1253 0.0770
0.5000 0.1250 0.3173
```

[3]
Computed, not measured: a relaxed KZn2Fe crystal at the GGA-PBE level of DFT.

```
KZn2Fe
1.0
6.2808 -0.0126 0.0226
3.0394 5.4964 -0.0226
-3.6553 -4.4497 2.5076
Fe K Zn
1 1 2
Direct
0.7500 0.2500 0.5000
0.2500 0.7500 0.5000
0.9445 0.9445 0.0000
0.5555 0.5555 0.0000
```

Results for E_form: 0.813; 0.358; 0.571 (in eV/atom, following the order of the records).
Results for E above lowest polymorph: 481; 26; 238 (in meV per atom, following the order of the records).